DFT (PBE) results for NaUPd6 after structural relaxation.

abc: 4.120 4.120 7.997
angles: 90.00 90.00 90.00
Sites, in units of the cell vectors:
Pd: 0.500 0.500 0.500
Pd: 0.500 0.500 0.000
Pd: 0.500 0.000 0.742
Pd: 0.000 0.500 0.258
Na: 0.000 0.000 0.000
Pd: 0.000 0.500 0.742
U: 0.000 0.000 0.500
Pd: 0.500 0.000 0.258

Output
crystal system: tetragonal
space-group type: P4/mmm, No. 123
ρ: 11.004 g cm⁻³
ΔE_f: -0.367 eV per atom
total DFT energy (no corrections): -46.70 eV per cell

DFT (PBE) results for NaUPd4 after structural relaxation.

abc: 5.391 5.391 5.391
angles: 60.00 60.00 60.00
Sites, in units of the cell vectors:
U: 0.000 0.000 0.000
Pd: 0.625 0.625 0.625
Pd: 0.625 0.125 0.625
Pd: 0.125 0.625 0.625
Pd: 0.625 0.625 0.125
Na: 0.250 0.250 0.250

Output
crystal system: cubic
space-group type: F-43m, No. 216
ρ: 10.294 g cm⁻³
ΔE_f: -0.250 eV per atom
total DFT energy (no corrections): -34.88 eV per cell